# 1
SiAgW2: relaxed, PBE.

Cell lengths 4.1563, 2.7805, 5.7263 Å; angles 71.24, 90.00, 90.00 degrees
Positions (direct):
Si1 0.5000 0.7500 0.7500
Ag1 0.5000 0.2500 0.2500
W1 0.0000 0.9582 0.9761
W2 0.0000 0.5418 0.5239

Results
The uncorrected formation energy comes out at 0.4122 eV/atom. Its size of the total moment is 0.00 μB/f.u. The value obtained for the calculated volume is 63 Å³/f.u. As for the crystal system: monoclinic.



# 2
SiAg2W: relaxed, PBE.

Cell lengths 2.8080, 4.5858, 5.0823 Å; angles 90.00, 90.00, 90.00 degrees
Positions (direct):
Ag1 0.0000 0.0000 0.0000
Ag2 0.5000 0.5000 0.0000
W1 0.0000 0.5000 0.5000
Si1 0.5000 0.0000 0.5000

Results
The uncorrected formation energy comes out at 0.4155 eV/atom. Its size of the total moment is 0.00 μB/f.u. The value obtained for the calculated volume is 65 Å³/f.u. As for the crystal system: orthorhombic.



# 3
SiAgW2: relaxed, PBE.

Cell lengths 2.7165, 4.1901, 5.6121 Å; angles 90.00, 90.00, 90.00 degrees
Positions (direct):
Si1 0.5000 0.5000 0.7446
Ag1 0.0000 0.0000 0.5082
W1 0.0000 0.0000 0.0062
W2 0.5000 0.5000 0.2410

Results
The uncorrected formation energy comes out at 0.5080 eV/atom. Its size of the total moment is 0.00 μB/f.u. The value obtained for the calculated volume is 64 Å³/f.u. As for the crystal system: orthorhombic.



# 4
YSiAg2W: relaxed, PBE.

Cell lengths 4.6683, 5.3337, 4.6683 Å; angles 90.00, 90.00, 90.00 degrees
Site moments in Bohr magnetons follow the coordinates.
Positions (direct):
W1 0.5000 0.5000 0.5000  2.35
Si1 0.0000 0.0000 0.0000  -0.03
Y1 0.0000 0.5000 0.0000  -0.07
Ag1 0.0000 0.0000 0.5000  0.01
Ag2 0.5000 0.0000 0.0000  -0.01

Results
The uncorrected formation energy comes out at 1.0814 eV/atom. Its size of the total moment is 2.89 μB/f.u. The value obtained for the calculated volume is 116 Å³/f.u. As for the crystal system: tetragonal.



# 5
Y2SiAgW: relaxed, PBE.

Cell lengths 5.3910, 4.7491, 5.3910 Å; angles 90.00, 90.00, 90.00 degrees
Positions (direct):
Y1 0.0000 0.0000 0.5000
Y2 0.5000 0.0000 0.0000
Ag1 0.5000 0.5000 0.5000
W1 0.0000 0.0000 0.0000
Si1 0.0000 0.5000 0.0000

Results
The uncorrected formation energy comes out at 0.4901 eV/atom. Its size of the total moment is 0.00 μB/f.u. The value obtained for the calculated volume is 138 Å³/f.u. As for the crystal system: tetragonal.



# 6
YSiAg: relaxed, PBE.

Cell lengths 4.4291, 4.4273, 8.1724 Å; angles 105.69, 90.00, 120.02 degrees
Positions (direct):
Y1 0.8814 0.8207 0.7196
Y2 0.4259 0.9099 0.3520
Ag1 0.2835 0.6249 0.9259
Ag2 0.6709 0.4000 0.0880
Si1 0.1601 0.3783 0.5553
Si2 0.0160 0.0901 0.1227

Results
The uncorrected formation energy comes out at -0.4073 eV/atom. Its size of the total moment is 0.00 μB/f.u. The value obtained for the calculated volume is 66 Å³/f.u. As for the crystal system: trigonal.



# 7
YSiAg3: relaxed, PBE.

Cell lengths 4.7908, 4.7908, 4.7908 Å; angles 90.00, 90.00, 90.00 degrees
Positions (direct):
Ag1 0.5000 0.0000 0.0000
Ag2 0.0000 0.5000 0.0000
Ag3 0.0000 0.0000 0.5000
Y1 0.5000 0.5000 0.5000
Si1 0.0000 0.0000 0.0000

Results
The uncorrected formation energy comes out at 0.0911 eV/atom. Its size of the total moment is 0.00 μB/f.u. The value obtained for the calculated volume is 110 Å³/f.u. As for the crystal system: cubic. The polymorph energy (0 for the lowest one) comes out at 0 meV/atom.



# 8
YSiAg: relaxed, PBE.

Cell lengths 5.9440, 5.9475, 3.3606 Å; angles 73.53, 73.64, 32.83 degrees
Positions (direct):
Si1 0.3480 0.3480 0.6520
Y1 0.6724 0.6724 0.3276
Ag1 0.9796 0.9796 0.0204

Results
The uncorrected formation energy comes out at -0.1444 eV/atom. Its size of the total moment is 0.00 μB/f.u. The value obtained for the calculated volume is 62 Å³/f.u. As for the crystal system: orthorhombic.



# 9
YSiAg: relaxed, PBE.

Cell lengths 5.1059, 5.1059, 5.1059 Å; angles 139.82, 130.33, 65.71 degrees
Positions (direct):
Si1 0.3248 0.3248 0.0000
Ag1 0.0060 0.0060 0.0000
Y1 0.6692 0.6692 0.0000

Results
The uncorrected formation energy comes out at -0.1205 eV/atom. Its size of the total moment is 0.00 μB/f.u. The value obtained for the calculated volume is 65 Å³/f.u. As for the crystal system: orthorhombic.



# 10
YSi3Ag: relaxed, PBE.

Cell lengths 4.8545, 4.8545, 4.8545 Å; angles 90.00, 90.00, 90.00 degrees
Positions (direct):
Y1 0.5000 0.5000 0.5000
Si1 0.0000 0.0000 0.5000
Si2 0.0000 0.5000 0.0000
Si3 0.5000 0.0000 0.0000
Ag1 0.0000 0.0000 0.0000

Results
The uncorrected formation energy comes out at 0.6150 eV/atom. Its size of the total moment is 0.00 μB/f.u. The value obtained for the calculated volume is 114 Å³/f.u. As for the crystal system: cubic. The polymorph energy (0 for the lowest one) comes out at 0 meV/atom.



Number 1: density of states at the Fermi level 1.69 states/eV/f.u.. Number 2: density of states at the Fermi level 2.73 states/eV/f.u.. Number 3: density of states at the Fermi level 2.68 states/eV/f.u.. Number 4: density of states at the Fermi level 4.65 states/eV/f.u.. Number 5: density of states at the Fermi level 4.55 states/eV/f.u.. Number 6: density of states at the Fermi level 1.35 states/eV/f.u.. Number 7: density of states at the Fermi level 3.95 states/eV/f.u.. Number 8: density of states at the Fermi level 1.47 states/eV/f.u.. Number 9: density of states at the Fermi level 1.99 states/eV/f.u.. Number 10: density of states at the Fermi level 5.02 states/eV/f.u..